Entry 1:
Here is a geometry-optimized Pm4Tm4Pb7 structure from Alexandria. Energies are from PBE.

```
Pm4Tm4Pb7
1.0
-8.184 8.184 3.397
8.184 -8.184 3.397
8.184 8.184 -3.397
Pm Tm Pb
8 8 14
Cartesian
3.059 0.000 0.000
13.309 0.000 0.000
0.000 3.059 0.000
6.054 6.054 0.000
2.131 -2.131 3.397
-2.131 2.131 3.397
2.131 2.131 3.397
0.000 13.309 0.000
5.718 -2.466 1.699
10.651 -2.466 1.699
5.718 2.466 1.699
10.651 2.466 1.699
-2.466 5.718 1.699
2.466 5.718 1.699
-2.466 10.651 1.699
2.466 10.651 1.699
6.599 0.000 0.000
9.769 0.000 0.000
3.202 3.202 0.000
4.982 -4.982 3.397
8.184 3.716 0.000
0.000 0.000 1.681
0.000 6.599 0.000
3.716 8.184 0.000
4.468 0.000 3.397
0.000 9.769 0.000
0.000 0.000 5.113
0.000 4.468 3.397
-4.982 4.982 3.397
4.982 4.982 3.397
```

Properties
The calculation puts the total magnetization at 0.00 μB/f.u. The calculation puts the raw total energy at -4.6607 eV per atom.


Entry 2:
Here is a geometry-optimized Pm3TmPb3 structure from Alexandria. Energies are from PBE.

```
Pm3TmPb3
1.0
4.657 2.689 6.319
-4.657 2.689 6.319
0.000 -5.378 6.319
Pm Tm Pb
6 2 6
Cartesian
-1.171 -3.254 8.006
-3.404 -0.612 10.951
-2.232 2.641 8.006
2.232 -2.641 10.951
3.404 0.612 8.006
1.171 3.254 10.951
0.000 0.000 6.292
0.000 0.000 12.666
-2.856 -0.461 7.781
-1.029 -2.704 11.176
1.827 -2.243 7.781
-1.827 2.243 11.176
1.029 2.704 7.781
2.856 0.461 11.176
```

Properties
The calculation puts the total magnetization at 0.00 μB/f.u. The calculation puts the raw total energy at -4.6513 eV per atom.


Entry 3:
Here is a geometry-optimized PmTm3Pb2 structure from Alexandria. Energies are from PBE.

```
PmTm3Pb2
1.0
4.547 0.000 0.000
0.000 4.547 0.000
0.000 0.000 8.525
Pm Tm Pb
1 3 2
Cartesian
0.000 0.000 0.000
0.000 2.274 2.903
2.274 0.000 5.622
2.274 2.274 0.000
0.000 2.274 6.049
2.274 0.000 2.477
```

Properties
The calculation puts the total magnetization at 0.00 μB/f.u. For the distance to the lowest polymorph of the same formula, the calculation gives 0 meV/atom.


Entry 4:
Here is a geometry-optimized PmTm4Pb4 structure from Alexandria. Energies are from PBE.

```
PmTm4Pb4
1.0
9.983 0.000 0.000
0.000 9.983 0.000
0.000 0.000 6.129
Pm Tm Pb
2 8 8
Cartesian
2.496 2.496 1.532
7.487 7.487 4.597
0.965 6.476 0.991
1.485 9.018 4.056
3.507 5.957 4.056
4.026 8.498 0.991
5.957 1.485 5.138
6.476 4.026 2.073
8.498 0.965 2.073
9.018 3.507 5.138
0.374 6.157 4.113
1.165 9.608 1.048
3.826 5.366 1.048
4.617 8.818 4.113
5.366 1.165 2.016
6.157 4.617 5.081
8.818 0.374 5.081
9.608 3.826 2.016
```

Properties
The calculation puts the total magnetization at 0.00 μB/f.u. The calculation puts the raw total energy at -4.3437 eV per atom.


Number 1: V 910.23 Å³/cell, theoretical density 9.9 g/cm3. Number 2: V 474.76 Å³/cell, theoretical density 8.6 g/cm3. Number 3: V 176.30 Å³/cell, theoretical density 10.0 g/cm3. Number 4: V 610.78 Å³/cell, theoretical density 9.0 g/cm3.